# 1
VASP calculation (PBE) on KCd2PdPb after structural relaxation.

Structure (POSCAR):
```
KCd2PdPb
1.0
5.3480 0.0000 0.0000
0.0000 5.3480 0.0000
0.0000 0.0000 5.3410
Pb K Pd Cd
1 1 1 2
Direct
0.0000 0.0000 0.5000
0.5000 0.5000 0.5000
0.0000 0.0000 0.0000
0.0000 0.5000 0.0000
0.5000 0.0000 0.0000
```

Computed properties:
Energy of formation (eV per atom): -0.1366
Symmetry: P4/mmm, No. 123

---

# 2
VASP calculation (PBE) on KCdPd2Pb2 after structural relaxation.

Structure (POSCAR):
```
KCdPd2Pb2
1.0
-0.9235 5.0344 -0.3849
-5.0347 -0.8886 0.4570
0.4834 0.5824 6.4584
K Cd Pd Pb
1 1 2 2
Direct
0.0000 0.0000 0.5000
0.0000 0.0000 0.0000
0.5000 0.0000 0.0000
0.0000 0.5000 0.0000
0.5000 0.5000 0.7584
0.5000 0.5000 0.2416
```

Computed properties:
Energy of formation (eV per atom): -0.1223
Symmetry: P4/mmm, No. 123

---

# 3
VASP calculation (PBE) on KPmCdPb after structural relaxation.

Structure (POSCAR):
```
KPmCdPb
1.0
5.6257 0.0000 0.0000
2.8129 4.8720 0.0000
2.8129 1.6240 4.5934
Pb K Cd Pm
1 1 1 1
Direct
0.2500 0.2500 0.2500
0.0000 0.0000 0.0000
0.7500 0.7500 0.7500
0.5000 0.5000 0.5000
```

Computed properties:
Energy of formation (eV per atom): -0.1708
Symmetry: F-43m, No. 216

---

# 4
VASP calculation (PBE) on KCdPtPb after structural relaxation.

Structure (POSCAR):
```
KCdPtPb
1.0
4.7366 0.0000 0.0000
2.3683 4.1020 0.0000
2.3683 1.3673 6.2439
K Cd Pt Pb
1 1 1 1
Direct
0.8143 0.8143 0.5570
0.2698 0.2698 0.1907
0.6271 0.6271 0.1186
0.0146 0.0146 0.9561
```

Computed properties:
Energy of formation (eV per atom): -0.2277
Symmetry: R3m, No. 160

---

# 5
VASP calculation (PBE) on KCd2PtPb after structural relaxation.

Structure (POSCAR):
```
KCd2PtPb
1.0
-4.6248 2.5547 0.8330
-0.5133 -2.4676 4.7177
2.6715 4.0507 2.4093
Pb K Pt Cd
1 1 1 2
Direct
0.0000 0.0000 0.5000
0.5000 0.5000 0.5000
0.0000 0.0000 0.0000
0.0000 0.5000 0.0000
0.5000 0.0000 0.0000
```

Computed properties:
Energy of formation (eV per atom): -0.1701
Symmetry: P4/mmm, No. 123

---

# 6
VASP calculation (PBE) on KRbCdPb after structural relaxation.

Structure (POSCAR):
```
KRbCdPb
1.0
5.3897 0.0000 0.0000
-2.6949 4.6595 -0.0053
0.0000 -3.1058 6.7605
K Rb Cd Pb
1 1 1 1
Direct
0.6434 0.2867 0.5730
0.8486 0.6971 0.1875
0.4033 0.8066 0.8520
0.0711 0.1422 0.8548
```

Computed properties:
Energy of formation (eV per atom): -0.1308
Symmetry: Cm, No. 8
Energy above the lowest structure with this stoichiometry (meV/atom): 0.0

---

# 7
VASP calculation (PBE) on K4Rb2CdPb2 after structural relaxation.

Structure (POSCAR):
```
K4Rb2CdPb2
1.0
6.5751 0.1244 0.0846
1.5648 8.7350 0.6492
1.5648 3.8112 7.8865
K Rb Cd Pb
4 2 1 2
Direct
0.2014 0.6496 0.0901
0.7986 0.9099 0.3504
0.7986 0.3504 0.9099
0.2014 0.0901 0.6496
0.2895 0.6424 0.6424
0.7105 0.3577 0.3577
0.5000 0.0000 0.0000
0.2625 0.1809 0.1809
0.7375 0.8191 0.8191
```

Computed properties:
Energy of formation (eV per atom): -0.0756
Symmetry: C2/m, No. 12

---

# 8
VASP calculation (PBE) on KRbCdPb after structural relaxation.

Structure (POSCAR):
```
KRbCdPb
1.0
-0.6243 5.6720 -1.2246
-2.8248 3.4955 3.7233
2.9534 3.9902 3.0687
Pb K Rb Cd
1 1 1 1
Direct
0.2500 0.2500 0.2500
0.5000 0.5000 0.5000
0.7500 0.7500 0.7500
0.0000 0.0000 0.0000
```

Computed properties:
Energy of formation (eV per atom): -0.0597
Symmetry: F-43m, No. 216
Energy above the lowest structure with this stoichiometry (meV/atom): 71.2

---

# 9
VASP calculation (PBE) on KCd2RhPb after structural relaxation.

Structure (POSCAR):
```
KCd2RhPb
1.0
5.3397 0.0000 0.0000
0.0000 5.3397 0.0000
0.0000 0.0000 5.1841
Pb K Rh Cd
1 1 1 2
Direct
0.0000 0.0000 0.5000
0.5000 0.5000 0.5000
0.0000 0.0000 0.0000
0.0000 0.5000 0.0000
0.5000 0.0000 0.0000
```

Computed properties:
Energy of formation (eV per atom): -0.1258
Symmetry: P4/mmm, No. 123

---

# 10
VASP calculation (PBE) on KCdRhPb2 after structural relaxation.

Structure (POSCAR):
```
KCdRhPb2
1.0
5.3422 0.0000 0.0000
0.0000 5.3422 0.0000
0.0000 0.0000 5.3688
Pb K Rh Cd
2 1 1 1
Direct
0.0000 0.5000 0.0000
0.5000 0.0000 0.0000
0.5000 0.5000 0.5000
0.0000 0.0000 0.0000
0.0000 0.0000 0.5000
```

Computed properties:
Energy of formation (eV per atom): -0.0426
Symmetry: P4/mmm, No. 123

---

# 11
VASP calculation (PBE) on KCd2Sb2Pb after structural relaxation.

Structure (POSCAR):
```
KCd2Sb2Pb
1.0
-3.8902 -1.8390 -2.8330
0.5923 -1.5502 4.8773
-4.8169 6.2356 2.5669
K Cd Sb Pb
1 2 2 1
Direct
0.0000 0.0000 0.0000
0.3333 0.6667 0.6770
0.6667 0.3333 0.3230
0.3333 0.6667 0.2797
0.6667 0.3333 0.7203
0.0000 0.0000 0.5000
```

Computed properties:
Symmetry: P-3m1, No. 164
Formation energy without anion corrections (eV/f.u.): -1.02

---

# 12
VASP calculation (PBE) on KCdSb2Pb after structural relaxation.

Structure (POSCAR):
```
KCdSb2Pb
1.0
5.0316 0.0000 0.0000
0.0000 5.0316 0.0000
-2.5158 -2.5158 6.8383
K Cd Sb Pb
1 1 2 1
Direct
0.0000 0.0000 0.0000
0.2500 0.7500 0.5000
0.6140 0.6140 0.2280
0.3860 0.3860 0.7720
0.7500 0.2500 0.5000
```

Computed properties:
Symmetry: I-4m2, No. 119
Formation energy without anion corrections (eV/f.u.): -0.87